No. 1
Entry from OQMD via LeMat-Bulk: a relaxed structure of ErLu4Ir2Pd (PBE-GGA).

Cell lengths 4.837, 4.837, 7.209 Å; angles 90.00, 90.00, 90.00 degrees
Space group P4/mmm (No. 123)
Unique sites:
1 Er 0.000 0.000 0.000 x1
2 Lu 0.000 0.500 0.271 x4
3 Ir 0.000 0.000 0.500 x1
4 Ir 0.500 0.500 0.000 x1
5 Pd 0.500 0.500 0.500 x1

## Properties
Raw total energy = -50.61 eV per formula unit
Crystal system = tetragonal
Formation energy = -0.63 eV per atom

---

No. 2
Entry from OQMD via LeMat-Bulk: a relaxed structure of Ta2W4Au3C3 (PBE-GGA).

Cell lengths 9.428, 5.450, 13.874 Å; angles 90.00, 103.16, 90.00 degrees
Space group C2/c (No. 15)
Unique sites:
1 Ta 0.053 0.084 0.408 x8
2 W 0.110 0.417 0.580 x8
3 W 0.223 0.416 0.920 x8
4 Au 0.000 0.452 0.250 x4
5 Au 0.184 0.100 0.749 x8
6 C 0.081 0.243 0.000 x8
7 C 0.250 0.250 0.500 x4

## Properties
Raw total energy = -113.84 eV per formula unit
Crystal system = monoclinic

---

No. 3
Entry from OQMD via LeMat-Bulk: a relaxed structure of TaBiPO (PBE-GGA).

Cell lengths 3.993, 3.993, 9.111 Å; angles 90.00, 90.00, 90.00 degrees
Space group P4/nmm (No. 129, origin choice 2)
Unique sites:
1 Ta 0.250 0.750 0.000 x2
2 Bi 0.250 0.250 0.364 x2
3 P 0.250 0.250 0.823 x2
4 O 0.250 0.750 0.500 x2

## Properties
Raw total energy = -28.54 eV per formula unit
Crystal system = tetragonal
Excess energy over the best structure of this formula in the dataset = 295 meV per atom

---

No. 4
Entry from OQMD via LeMat-Bulk: a relaxed structure of PrDyAsO (PBE-GGA).

Cell lengths 4.358, 7.583, 6.175 Å; angles 90.00, 90.00, 90.00 degrees
Space group Pmc2_1 (No. 26)
Unique sites:
1 Pr 0.000 0.202 0.000 x2
2 Dy 0.500 0.393 0.585 x2
3 As 0.000 0.182 0.493 x2
4 O 0.500 0.339 0.937 x2

## Properties
Raw total energy = -26.84 eV per formula unit
Crystal system = orthorhombic
Excess energy over the best structure of this formula in the dataset = 0 meV per atom

---

No. 5
Entry from OQMD via LeMat-Bulk: a relaxed structure of Lu2GaAg (PBE-GGA).

Cell lengths 7.096, 7.096, 7.096 Å; angles 90.00, 90.00, 90.00 degrees
Space group F-43m (No. 216)
Unique sites:
1 Lu 0.000 0.000 0.000 x4
2 Lu 0.250 0.250 0.250 x4
3 Ga 0.000 0.000 0.500 x4
4 Ag 0.250 0.250 0.750 x4

## Properties
Raw total energy = -15.08 eV per formula unit
Crystal system = cubic

---

No. 6
Entry from OQMD via LeMat-Bulk: a relaxed structure of HfTlTe3Au (PBE-GGA).

Cell lengths 18.900, 4.066, 9.124 Å; angles 90.00, 97.32, 90.00 degrees
Space group C2/m (No. 12)
Unique sites:
1 Hf 0.160 0.000 0.103 x4
2 Tl 0.125 0.000 0.590 x4
3 Te 0.000 0.000 0.000 x2
4 Te 0.000 0.500 0.500 x2
5 Te 0.180 0.500 0.885 x4
6 Te 0.196 0.500 0.328 x4
7 Au 0.055 0.500 0.216 x4

## Properties
Raw total energy = -27.59 eV per formula unit
Crystal system = monoclinic
Excess energy over the best structure of this formula in the dataset = 97 meV per atom

---

No. 7
Entry from OQMD via LeMat-Bulk: a relaxed structure of GdLuPO (PBE-GGA).

Cell lengths 4.181, 7.272, 5.776 Å; angles 90.00, 90.00, 90.00 degrees
Space group Pmc2_1 (No. 26)
Unique sites:
1 Gd 0.000 0.201 0.000 x2
2 Lu 0.500 0.383 0.571 x2
3 P 0.000 0.176 0.493 x2
4 O 0.500 0.337 0.940 x2

## Properties
Raw total energy = -27.69 eV per formula unit
Crystal system = orthorhombic
Excess energy over the best structure of this formula in the dataset = 0 meV per atom

---

No. 8
Entry from OQMD via LeMat-Bulk: a relaxed structure of BeAgSnAu (PBE-GGA).

Cell lengths 6.583, 6.583, 6.583 Å; angles 90.00, 90.00, 90.00 degrees
Space group F-43m (No. 216)
Unique sites:
1 Be 0.000 0.000 0.000 x4
2 Ag 0.250 0.250 0.250 x4
3 Sn 0.000 0.000 0.500 x4
4 Au 0.250 0.250 0.750 x4

## Properties
Raw total energy = -12.69 eV per formula unit
Crystal system = cubic
Excess energy over the best structure of this formula in the dataset = 0 meV per atom

---

No. 9
Entry from OQMD via LeMat-Bulk: a relaxed structure of TmInFeTe3 (PBE-GGA).

Cell lengths 12.775, 4.205, 12.495 Å; angles 90.00, 90.00, 90.00 degrees
Space group Pnma (No. 62)
Unique sites:
1 Tm 0.020 0.250 0.186 x4
2 In 0.189 0.250 0.492 x4
3 Fe 0.223 0.750 0.335 x4
4 Te 0.019 0.750 0.361 x4
5 Te 0.102 0.250 0.944 x4
6 Te 0.239 0.750 0.709 x4

## Properties
Raw total energy = -27.99 eV per formula unit
Crystal system = orthorhombic
Excess energy over the best structure of this formula in the dataset = 46 meV per atom

---

No. 10
Entry from OQMD via LeMat-Bulk: a relaxed structure of Pd (PBE-GGA).

Cell lengths 2.744, 2.744, 43.614 Å; angles 90.00, 90.00, 90.00 degrees
Space group P4/nmm (No. 129, origin choice 2)
Unique sites:
1 Pd 0.250 0.250 0.023 x2
2 Pd 0.250 0.250 0.113 x2
3 Pd 0.250 0.250 0.205 x2
4 Pd 0.250 0.250 0.297 x2
5 Pd 0.250 0.250 0.657 x2
6 Pd 0.250 0.250 0.750 x2
7 Pd 0.250 0.250 0.841 x2
8 Pd 0.250 0.250 0.932 x2

## Properties
Raw total energy = -5.08 eV per formula unit
Crystal system = tetragonal
Excess energy over the best structure of this formula in the dataset = 92 meV per atom
Formation energy = 0.09 eV per atom

---

No. 11
Entry from OQMD via LeMat-Bulk: a relaxed structure of HoTmMg2 (PBE-GGA).

Cell lengths 3.789, 5.296, 5.297 Å; angles 90.00, 90.00, 90.00 degrees
Space group Pmm2 (No. 25)
Unique sites:
1 Ho 0.000 0.000 0.000 x1
2 Tm 0.000 0.500 0.503 x1
3 Mg 0.500 0.000 0.500 x1
4 Mg 0.500 0.500 0.004 x1

## Properties
Raw total energy = -12.39 eV per formula unit
Crystal system = orthorhombic

---

No. 12
Entry from OQMD via LeMat-Bulk: a relaxed structure of Be2HgIr (PBE-GGA).

Cell lengths 6.070, 6.070, 6.070 Å; angles 90.00, 90.00, 90.00 degrees
Space group F-43m (No. 216)
Unique sites:
1 Be 0.000 0.000 0.000 x4
2 Be 0.250 0.250 0.250 x4
3 Hg 0.250 0.250 0.750 x4
4 Ir 0.000 0.000 0.500 x4

## Properties
Raw total energy = -14.87 eV per formula unit
Crystal system = cubic

---

No. 13
Entry from OQMD via LeMat-Bulk: a relaxed structure of Pm2As (PBE-GGA).

Cell lengths 8.726, 8.726, 8.726 Å; angles 90.00, 90.00, 90.00 degrees
Space group Fd-3m (No. 227, origin choice 2)
Unique sites:
1 Pm 0.000 0.000 0.000 x16
2 As 0.125 0.125 0.625 x8

## Properties
Raw total energy = -13.93 eV per formula unit
Crystal system = cubic

---

No. 14
Entry from OQMD via LeMat-Bulk: a relaxed structure of SrErRe (PBE-GGA).

Cell lengths 6.993, 6.993, 6.993 Å; angles 90.00, 90.00, 90.00 degrees
Space group F-43m (No. 216)
Unique sites:
1 Sr 0.000 0.000 0.000 x4
2 Er 0.250 0.250 0.750 x4
3 Re 0.000 0.000 0.500 x4

## Properties
Raw total energy = -14.36 eV per formula unit
Crystal system = cubic

---

No. 15
Entry from OQMD via LeMat-Bulk: a relaxed structure of SmNbPt (PBE-GGA).

Cell lengths 6.625, 6.625, 6.625 Å; angles 90.00, 90.00, 90.00 degrees
Space group F-43m (No. 216)
Unique sites:
1 Sm 0.000 0.000 0.000 x4
2 Nb 0.000 0.000 0.500 x4
3 Pt 0.250 0.250 0.750 x4

## Properties
Raw total energy = -21.08 eV per formula unit
Crystal system = cubic
Excess energy over the best structure of this formula in the dataset = 0 meV per atom
Formation energy = -0.07 eV per atom

---

No. 16
Entry from OQMD via LeMat-Bulk: a relaxed structure of LuPuCu (PBE-GGA).

Cell lengths 6.600, 6.600, 6.600 Å; angles 90.00, 90.00, 90.00 degrees
Space group F-43m (No. 216)
Unique sites:
1 Lu 0.000 0.000 0.000 x4
2 Pu 0.000 0.000 0.500 x4
3 Cu 0.250 0.250 0.250 x4

## Properties
Raw total energy = -21.70 eV per formula unit
Crystal system = cubic
Excess energy over the best structure of this formula in the dataset = 0 meV per atom
Formation energy = 0.22 eV per atom

---

No. 17
Entry from OQMD via LeMat-Bulk: a relaxed structure of LuTaNi (PBE-GGA).

Cell lengths 6.221, 6.221, 6.221 Å; angles 90.00, 90.00, 90.00 degrees
Space group F-43m (No. 216)
Unique sites:
1 Lu 0.000 0.000 0.000 x4
2 Ta 0.250 0.250 0.250 x4
3 Ni 0.000 0.000 0.500 x4

## Properties
Raw total energy = -19.22 eV per formula unit
Crystal system = cubic
Excess energy over the best structure of this formula in the dataset = 0 meV per atom
Formation energy = 0.91 eV per atom

---

No. 18
Entry from OQMD via LeMat-Bulk: a relaxed structure of Li4Ga2PtAu (PBE-GGA).

Cell lengths 4.319, 4.319, 6.123 Å; angles 90.00, 90.00, 90.00 degrees
Space group P-4m2 (No. 115)
Unique sites:
1 Li 0.000 0.000 0.000 x1
2 Li 0.000 0.500 0.747 x2
3 Li 0.500 0.500 0.500 x1
4 Ga 0.000 0.500 0.266 x2
5 Pt 0.000 0.000 0.500 x1
6 Au 0.500 0.500 0.000 x1

## Properties
Raw total energy = -27.70 eV per formula unit
Crystal system = tetragonal

---

No. 19
Entry from OQMD via LeMat-Bulk: a relaxed structure of TaGaCoMo (PBE-GGA).

Cell lengths 6.182, 6.182, 6.182 Å; angles 90.00, 90.00, 90.00 degrees
Space group F-43m (No. 216)
Unique sites:
1 Ta 0.000 0.000 0.000 x4
2 Ga 0.000 0.000 0.500 x4
3 Co 0.250 0.250 0.750 x4
4 Mo 0.250 0.250 0.250 x4

## Properties
Raw total energy = -32.93 eV per formula unit
Crystal system = cubic
Excess energy over the best structure of this formula in the dataset = 0 meV per atom

---

No. 20
Entry from OQMD via LeMat-Bulk: a relaxed structure of Y2Lu4As3C3 (PBE-GGA).

Cell lengths 10.790, 6.211, 14.290 Å; angles 90.00, 104.64, 90.00 degrees
Space group C2/c (No. 15)
Unique sites:
1 Y 0.049 0.083 0.399 x8
2 Lu 0.115 0.416 0.593 x8
3 Lu 0.220 0.417 0.907 x8
4 As 0.000 0.456 0.250 x4
5 As 0.180 0.101 0.750 x8
6 C 0.084 0.253 0.000 x8
7 C 0.250 0.250 0.500 x4

## Properties
Raw total energy = -81.79 eV per formula unit
Crystal system = monoclinic